HgHRu2: optimized geometry, PBE-GGA.

```
HgHRu2
1.0
1.983 2.899 2.524
-2.213 3.361 1.584
-0.925 0.184 4.221
Ru Hg H
2 1 1
Direct
0.250 0.250 0.250
0.750 0.750 0.750
0.500 0.500 0.500
0.000 0.000 0.000
```

Results
The calculated volume is 14.30 A^3/atom. The calculated total energy is -4.31 eV/atom.